1.
## PrNiPN (PBE)

Data for an optimized crystal structure of PrNiPN.

Cell and atoms, written as extended XYZ:
```
8
Lattice="-0.644 3.366 -1.630 -0.502 -1.717 -3.347 -7.853 -0.746 1.561" Properties=species:S:1:pos:R:3 pbc="T T T"
Pr -6.767 -1.478 -0.378
Pr -1.659 1.556 -0.549
Ni -3.926 -0.373 0.781
Ni -4.500 0.451 -1.708
P -3.004 -1.120 -1.126
P -5.422 1.198 0.199
N -7.098 1.039 0.532
N -1.328 -0.961 -1.459
```

Computed properties:
Fermi-level density of states ... 3.332 states/eV per cell
Electronic total energy ... -57.39 eV per cell

***

2.
## NaCaAg2 (PBE)

Data for an optimized crystal structure of NaCaAg2.

Cell and atoms, written as extended XYZ:
```
4
Lattice="3.732 0.000 0.000 0.000 3.732 0.000 0.000 0.000 6.934" Properties=species:S:1:pos:R:3 pbc="T T T"
Na 1.866 1.866 0.000
Ca 1.866 1.866 3.467
Ag 0.000 0.000 5.264
Ag 0.000 0.000 1.670
```

Computed properties:
Fermi-level density of states ... 1.225 states/eV per cell
Energy relative to the elements ... -151.8 meV/atom

***

3.
## Cs2CdGeSe4 (PBE)

Data for an optimized crystal structure of Cs2CdGeSe4.

Cell and atoms, written as extended XYZ:
```
16
Lattice="6.560 0.000 0.000 3.280 7.295 0.000 3.280 0.000 12.894" Properties=species:S:1:pos:R:3 pbc="T T T"
Cs 3.280 0.000 8.235
Cs 6.560 0.000 4.660
Cs 8.200 3.648 11.107
Cs 8.200 3.648 1.787
Cd 8.200 3.648 6.447
Cd 0.000 0.000 0.000
Ge 4.920 3.648 6.447
Ge 3.280 0.000 0.000
Se 5.138 5.906 1.349
Se 5.138 1.389 11.545
Se 11.263 5.906 11.545
Se 4.702 1.389 1.349
Se 6.343 5.037 5.098
Se 6.343 2.258 7.796
Se 10.058 5.037 7.796
Se 3.498 2.258 5.098
```

Computed properties:
Fermi-level density of states ... 0.000 states/eV per cell
Electronic total energy ... -55.55 eV per cell